No. 1
Below is ThZr2Pb after structural relaxation, with properties calculated at the PBE level.

Unit cell a=4.4313 b=22.2678 c=4.4409 alpha=90.00 beta=90.00 gamma=90.00
Space group Cmcm (No. 63)
Asymmetric unit:
Th 0.0000 0.1962 0.2500
Zr 0.0000 0.0507 0.7500
Zr 0.0000 0.4495 0.7500
Pb 0.0000 0.3459 0.2500

Calculated values
* magnetic moment: 0.00 μB per cell
* E_tot: -7.269 eV/atom
* D(E_F): 3.5 states/eV/f.u.
* distance to the lowest polymorph of the same formula: 0.0000 eV/atom
* DFT formation energy: -0.21 eV per atom

=====

No. 2
Below is Th2ZrPb after structural relaxation, with properties calculated at the PBE level.

Unit cell a=4.7472 b=4.7472 c=4.9737 alpha=90.00 beta=90.00 gamma=90.00
Space group P4/mmm (No. 123)
Asymmetric unit:
Th 0.0000 0.5000 0.0000
Zr 0.0000 0.0000 0.5000
Pb 0.5000 0.5000 0.5000

Calculated values
* magnetic moment: 0.00 μB per cell
* E_tot: -6.902 eV/atom
* D(E_F): 4.2 states/eV/f.u.
* distance to the lowest polymorph of the same formula: 0.0000 eV/atom
* DFT formation energy: -0.13 eV per atom

=====

No. 3
Below is Ti8Pb after structural relaxation, with properties calculated at the PBE level.

Unit cell a=9.0708 b=9.0708 c=3.9301 alpha=90.00 beta=90.00 gamma=90.00
Space group I4/mmm (No. 139)
Asymmetric unit:
Ti 0.0000 0.3404 0.0000
Ti 0.1740 0.1740 0.5000
Pb 0.0000 0.0000 0.0000

Calculated values
* magnetic moment: 0.00 μB per cell
* E_tot: -7.448 eV/atom
* D(E_F): 12.2 states/eV/f.u.
* DFT formation energy: -0.02 eV per atom

=====

No. 4
Below is Ti5Pb3 after structural relaxation, with properties calculated at the PBE level.

Unit cell a=9.6589 b=7.2484 c=9.1242 alpha=90.00 beta=90.00 gamma=90.00
Space group Cmcm (No. 63)
Asymmetric unit:
Ti 0.0000 0.0032 0.2500
Ti 0.0000 0.2919 0.5486
Ti 0.2277 0.2606 0.7500
Pb 0.0000 0.4145 0.2500
Pb 0.2092 0.0000 0.0000

Calculated values
* magnetic moment: 0.00 μB per cell
* E_tot: -6.338 eV/atom
* D(E_F): 8.0 states/eV/f.u.
* DFT formation energy: -0.01 eV per atom

=====

No. 5
Below is TiPb2 after structural relaxation, with properties calculated at the PBE level.

Unit cell a=5.2499 b=5.2629 c=10.4969 alpha=90.00 beta=90.00 gamma=90.00
Space group Fmmm (No. 69)
Asymmetric unit:
Ti 0.0000 0.0000 0.0000
Pb 0.0000 0.0000 0.3481

Calculated values
* magnetic moment: 0.92 μB per cell
* E_tot: -4.901 eV/atom
* D(E_F): 3.6 states/eV/f.u.
* DFT formation energy: 0.20 eV per atom

=====

No. 6
Below is Ti13Pb3 after structural relaxation, with properties calculated at the PBE level.

Unit cell a=4.7842 b=6.0063 c=10.1933 alpha=90.00 beta=90.00 gamma=90.00
Space group Pmm2 (No. 25)
Asymmetric unit:
Ti 0.0000 0.0000 0.0000
Ti 0.0000 0.0000 0.5149
Ti 0.0000 0.2359 0.7530
Ti 0.0000 0.2500 0.2717
Ti 0.0000 0.5000 0.5051
Ti 0.5000 0.0000 0.6824
Ti 0.5000 0.2418 0.9313
Ti 0.5000 0.2433 0.4343
Ti 0.5000 0.5000 0.1959
Pb 0.0000 0.5000 0.0126
Pb 0.5000 0.0000 0.1794
Pb 0.5000 0.5000 0.6837

Calculated values
* magnetic moment: 0.00 μB per cell
* E_tot: -7.140 eV/atom
* D(E_F): 16.9 states/eV/f.u.
* distance to the lowest polymorph of the same formula: 0.0000 eV/atom
* DFT formation energy: -0.03 eV per atom

=====

No. 7
Below is Ti13Pb3 after structural relaxation, with properties calculated at the PBE level.

Unit cell a=7.5834 b=8.6925 c=9.0027 alpha=90.00 beta=90.00 gamma=90.00
Space group Amm2 (No. 38)
Asymmetric unit:
Ti 0.0000 0.0000 0.0000
Ti 0.0000 0.0000 0.5414
Ti 0.0000 0.2337 0.7725
Ti 0.2450 0.2456 0.5261
Ti 0.2520 0.0000 0.7541
Ti 0.5000 0.0000 0.5276
Ti 0.5000 0.2488 0.7661
Pb 0.2367 0.0000 0.2802
Pb 0.5000 0.0000 0.9973

Calculated values
* magnetic moment: 0.04 μB per cell
* E_tot: -7.105 eV/atom
* D(E_F): 21.0 states/eV/f.u.
* distance to the lowest polymorph of the same formula: 0.0342 eV/atom
* DFT formation energy: 0.00 eV per atom

=====

No. 8
Below is TiPb4 after structural relaxation, with properties calculated at the PBE level.

Unit cell a=5.4589 b=5.4589 c=5.4589 alpha=90.00 beta=90.00 gamma=90.00
Space group Pm-3m (No. 221)
Asymmetric unit:
Ti 0.0000 0.0000 0.0000
Pb 0.0000 0.0000 0.5000
Pb 0.5000 0.5000 0.5000

Calculated values
* magnetic moment: 0.00 μB per cell
* E_tot: -4.266 eV/atom
* D(E_F): 4.7 states/eV/f.u.
* DFT formation energy: 0.28 eV per atom

=====

No. 9
Below is Ti5Pb after structural relaxation, with properties calculated at the PBE level.

Unit cell a=4.0968 b=13.1871 c=4.0644 alpha=90.00 beta=90.00 gamma=90.00
Space group Cmmm (No. 65)
Asymmetric unit:
Ti 0.0000 0.0000 0.0000
Ti 0.0000 0.1750 0.5000
Ti 0.0000 0.3260 0.0000
Pb 0.0000 0.5000 0.5000

Calculated values
* magnetic moment: 0.00 μB per cell
* E_tot: -7.233 eV/atom
* D(E_F): 7.5 states/eV/f.u.
* DFT formation energy: -0.04 eV per atom

=====

No. 10
Below is Ti13Pb2 after structural relaxation, with properties calculated at the PBE level.

Unit cell a=7.1623 b=7.1623 c=22.2439 alpha=90.00 beta=90.00 gamma=120.00
Space group R-3m (No. 166, hexagonal axes)
Asymmetric unit:
Ti 0.0000 0.0000 0.0000
Ti 0.0820 0.5410 0.4195
Ti 0.0837 0.5418 0.3004
Pb 0.0000 0.0000 0.1378

Calculated values
* magnetic moment: 0.03 μB per cell
* E_tot: -6.849 eV/atom
* D(E_F): 24.1 states/eV/f.u.
* DFT formation energy: 0.49 eV per atom

=====

No. 11
Below is Ti6Pb after structural relaxation, with properties calculated at the PBE level.

Unit cell a=5.3497 b=5.3497 c=9.3108 alpha=90.00 beta=90.00 gamma=90.00
Space group P4/nbm (No. 125, origin choice 2)
Asymmetric unit:
Ti 0.0808 0.5808 0.1359
Ti 0.2500 0.2500 0.3635
Pb 0.2500 0.7500 0.5000

Calculated values
* magnetic moment: 0.00 μB per cell
* E_tot: -6.979 eV/atom
* D(E_F): 8.2 states/eV/f.u.
* DFT formation energy: 0.32 eV per atom

=====

No. 12
Below is Ti2Pb after structural relaxation, with properties calculated at the PBE level.

Unit cell a=7.8373 b=7.8373 c=7.8373 alpha=90.00 beta=90.00 gamma=90.00
Space group Fd-3m (No. 227, origin choice 2)
Asymmetric unit:
Ti 0.0000 0.0000 0.0000
Pb 0.1250 0.1250 0.6250

Calculated values
* magnetic moment: 1.43 μB per cell
* E_tot: -6.322 eV/atom
* D(E_F): 4.7 states/eV/f.u.
* DFT formation energy: 0.18 eV per atom